DFT (GGA-PBE) results for Sr2LiCaC after structural relaxation.

Cell: 6.7797 4.4064 6.7797 Å, 90.00 90.00 90.00°
Closest atoms and distances in Å follow each position.
Positions (direct):
Sr1 0.0000 0.0000 0.5000  2 Ca 3.39
Sr2 0.5000 0.0000 0.0000  2 Ca 3.39
C1 0.0000 0.5000 0.0000  2 Ca 2.20
Ca1 0.0000 0.0000 0.0000  2 C 2.20
Li1 0.5000 0.5000 0.5000  8 Sr 4.04, 2 Li 4.41

Values from the calculation:
Magnetic moment = 0.0 Bohr magnetons per cell
Calculated density = 1.9 Mg/m³
ΔH_f (0 K) = 1.093 eV/atom